# InTc2P PBE optimized geometry
data_InTc2P
_chemical_formula_sum 'In2 Tc4 P2'
_symmetry_space_group_name_H-M 'I -4 m 2'
_symmetry_Int_Tables_number 119
_symmetry_space_group_name_Hall 'I -4 -2'
_cell_length_a 3.890
_cell_length_b 3.890
_cell_length_c 8.248
_cell_angle_alpha 90.00
_cell_angle_beta 90.00
_cell_angle_gamma 90.00
loop_
_atom_site_label
_atom_site_type_symbol
_atom_site_fract_x
_atom_site_fract_y
_atom_site_fract_z
_atom_site_occupancy
In1 In 0.000 0.000 0.000 1
Tc1 Tc 0.000 0.000 0.500 1
Tc2 Tc 0.000 0.500 0.250 1
P1 P 0.000 0.500 0.750 1
# E above lowest polymorph in meV per atom: 575
# Size of the total moment in μB/f.u.: 0.0
# Formation energy from the elements in kJ/mol of atoms: 42.9
# Electronic total energy in eV per atom: -6.7753